DFT (GGA-PBE) results for a relaxed structure of GdSn2Ir.

Summary:
ΔH_f (0 K)   -521 meV/atom
Electronic total energy   -8.258 eV per atom
V   22.95 Å³ per atom
Space group   R-3m, No. 166

extended XYZ file:
```
4
Lattice="-2.848 2.029 2.827 -4.382 -1.002 -0.119 -1.633 -3.468 4.420" Properties=species:S:1:pos:R:3 pbc="T T T"
Ir -4.432 -1.221 3.564
Sn -2.157 -0.900 2.050
Sn -6.706 -1.541 5.079
Gd 0.000 0.000 0.000
```

---

DFT (GGA-PBE) results for a relaxed structure of Gd3SnIr.

Summary:
ΔH_f (0 K)   -498 meV/atom
Electronic total energy   -11.519 eV per atom
V   31.04 Å³ per atom
Space group   Pm-3m, No. 221

extended XYZ file:
```
5
Lattice="-3.815 2.958 -2.362 1.007 -2.439 -4.682 -3.649 -3.766 1.178" Properties=species:S:1:pos:R:3 pbc="T T T"
Gd -1.908 1.479 -1.181
Gd -1.824 -1.883 0.589
Sn -3.228 -1.624 -2.933
Gd 0.503 -1.220 -2.341
Ir 0.000 0.000 0.000
```

---

DFT (GGA-PBE) results for a relaxed structure of Gd2SnIr.

Summary:
ΔH_f (0 K)   -582 meV/atom
E above lowest polymorph   154 meV per atom
Electronic total energy   -10.838 eV per atom
V   23.93 Å³ per atom
Space group   Fm-3m, No. 225

extended XYZ file:
```
4
Lattice="5.135 0.000 0.000 2.567 4.447 0.000 2.567 1.482 4.193" Properties=species:S:1:pos:R:3 pbc="T T T"
Sn 0.000 0.000 0.000
Gd 7.702 4.447 3.144
Ir 5.135 2.965 2.096
Gd 2.567 1.482 1.048
```

---

DFT (GGA-PBE) results for a relaxed structure of Gd2SnIr.

Summary:
ΔH_f (0 K)   -736 meV/atom
E above lowest polymorph   0 meV per atom
Electronic total energy   -10.992 eV per atom
V   24.24 Å³ per atom
Space group   P4/mmm, No. 123

extended XYZ file:
```
4
Lattice="-1.091 -2.507 2.148 -0.560 -2.089 -2.722 7.505 -2.768 0.582" Properties=species:S:1:pos:R:3 pbc="T T T"
Ir -0.825 -2.298 -0.287
Gd 1.584 -0.584 0.123
Sn 2.927 -3.682 0.004
Gd 5.921 -2.184 0.459
```

---

DFT (GGA-PBE) results for a relaxed structure of Gd2SnIr.

Summary:
ΔH_f (0 K)   -587 meV/atom
E above lowest polymorph   148 meV per atom
Electronic total energy   -10.844 eV per atom
V   27.35 Å³ per atom
Space group   R-3m, No. 166

extended XYZ file:
```
4
Lattice="-1.978 2.507 2.246 -1.105 -1.052 3.593 6.115 3.391 4.993" Properties=species:S:1:pos:R:3 pbc="T T T"
Gd 2.628 3.778 8.275
Gd 0.405 1.067 2.557
Ir 0.000 0.000 0.000
Sn 1.516 2.423 5.416
```

---

DFT (GGA-PBE) results for a relaxed structure of GdTmSnIr.

Summary:
ΔH_f (0 K)   -604 meV/atom
Electronic total energy   -8.458 eV per atom
V   23.15 Å³ per atom
Space group   F-43m, No. 216

extended XYZ file:
```
4
Lattice="5.078 0.000 0.000 2.539 4.398 0.000 2.539 1.466 4.146" Properties=species:S:1:pos:R:3 pbc="T T T"
Ir 5.078 2.932 2.073
Tm 7.617 4.398 3.110
Gd 2.539 1.466 1.037
Sn 0.000 0.000 0.000
```

---

DFT (GGA-PBE) results for a relaxed structure of SrGd3Ir.

Summary:
ΔH_f (0 K)   -323 meV/atom
Electronic total energy   -10.880 eV per atom
V   34.63 Å³ per atom
Space group   Pm-3m, No. 221

extended XYZ file:
```
5
Lattice="-3.502 -3.489 2.574 -1.169 -2.426 -4.880 4.175 -3.606 0.793" Properties=species:S:1:pos:R:3 pbc="T T T"
Sr -0.248 -4.761 -0.757
Gd -0.584 -1.213 -2.440
Ir 0.000 0.000 0.000
Gd 2.088 -1.803 0.396
Gd -1.751 -1.745 1.287
```

---

DFT (GGA-PBE) results for a relaxed structure of SrGdIr4.

Summary:
ΔH_f (0 K)   -513 meV/atom
Electronic total energy   -9.047 eV per atom
V   18.91 Å³ per atom
Space group   F-43m, No. 216

extended XYZ file:
```
6
Lattice="5.434 0.000 0.000 2.717 4.706 0.000 2.717 1.569 4.437" Properties=species:S:1:pos:R:3 pbc="T T T"
Ir 6.791 3.921 2.772
Ir 5.434 1.570 2.772
Ir 4.077 3.921 2.772
Sr 0.000 0.000 0.000
Ir 5.434 3.137 0.556
Gd 2.717 1.569 1.109
```

---

DFT (GGA-PBE) results for a relaxed structure of Tb2GdIr.

Summary:
ΔH_f (0 K)   -320 meV/atom
E above lowest polymorph   66 meV per atom
Electronic total energy   -8.370 eV per atom
V   30.80 Å³ per atom
Space group   R-3m, No. 166

extended XYZ file:
```
4
Lattice="-3.873 0.202 -0.585 -2.471 -0.767 2.948 -2.014 8.737 3.196" Properties=species:S:1:pos:R:3 pbc="T T T"
Tb -6.261 6.833 4.359
Gd -4.179 4.086 2.779
Ir 0.000 0.000 0.000
Tb -2.098 1.339 1.200
```

---

DFT (GGA-PBE) results for a relaxed structure of Tb2GdIr.

Summary:
ΔH_f (0 K)   -385 meV/atom
E above lowest polymorph   0 meV per atom
Electronic total energy   -8.436 eV per atom
V   27.18 Å³ per atom
Space group   P4/mmm, No. 123

extended XYZ file:
```
4
Lattice="-0.698 0.924 -3.319 -3.004 -1.820 0.125 -4.219 7.163 2.882" Properties=species:S:1:pos:R:3 pbc="T T T"
Tb -0.778 1.321 0.532
Gd -3.961 3.133 -0.156
Tb -3.441 5.842 2.350
Ir -1.851 -0.448 -1.597
```

---

DFT (GGA-PBE) results for a relaxed structure of TbGd3Ir.

Summary:
ΔH_f (0 K)   -235 meV/atom
Electronic total energy   -11.381 eV per atom
V   32.85 Å³ per atom
Space group   Pm-3m, No. 221

extended XYZ file:
```
5
Lattice="5.476 0.000 0.000 0.000 5.476 0.000 0.000 0.000 5.476" Properties=species:S:1:pos:R:3 pbc="T T T"
Gd 2.738 0.000 0.000
Ir 0.000 0.000 0.000
Gd 0.000 0.000 2.738
Tb 2.738 2.738 2.738
Gd 0.000 2.738 0.000
```

---

DFT (GGA-PBE) results for a relaxed structure of TbGdTlIr.

Summary:
ΔH_f (0 K)   -460 meV/atom
Electronic total energy   -7.944 eV per atom
V   23.91 Å³ per atom
Space group   F-43m, No. 216

extended XYZ file:
```
4
Lattice="-4.587 -2.230 -0.579 -1.752 -3.234 3.581 -3.924 1.382 3.008" Properties=species:S:1:pos:R:3 pbc="T T T"
Ir -2.566 -1.020 1.502
Tb -5.131 -2.041 3.005
Gd 0.000 0.000 0.000
Tl -7.697 -3.061 4.507
```

---

DFT (GGA-PBE) results for a relaxed structure of GdTh2Ir.

Summary:
ΔH_f (0 K)   -140 meV/atom
Electronic total energy   -9.586 eV per atom
V   33.97 Å³ per atom
Space group   R-3m, No. 166

extended XYZ file:
```
4
Lattice="-3.854 -0.317 0.588 -1.778 -3.447 -0.502 -0.185 -3.562 9.877" Properties=species:S:1:pos:R:3 pbc="T T T"
Ir -2.908 -3.663 4.982
Th -0.750 -2.791 6.589
Th -5.067 -4.534 3.374
Gd 0.000 0.000 0.000
```

---

DFT (GGA-PBE) results for a relaxed structure of GdThZnIr.

Summary:
ΔH_f (0 K)   -508 meV/atom
Electronic total energy   -8.417 eV per atom
V   22.86 Å³ per atom
Space group   F-43m, No. 216

extended XYZ file:
```
4
Lattice="-4.332 -0.603 2.537 0.042 -2.045 4.625 -0.983 2.873 4.044" Properties=species:S:1:pos:R:3 pbc="T T T"
Ir -2.637 0.112 5.603
Zn 0.000 0.000 0.000
Gd -3.955 0.168 8.404
Th -1.318 0.056 2.801
```

---

DFT (GGA-PBE) results for a relaxed structure of GdTiIr.

Summary:
ΔH_f (0 K)   -342 meV/atom
Electronic total energy   -10.621 eV per atom
V   22.71 Å³ per atom
Space group   F-43m, No. 216

extended XYZ file:
```
3
Lattice="-0.809 -3.869 -2.321 3.267 -3.198 -0.335 -0.441 -3.971 2.247" Properties=species:S:1:pos:R:3 pbc="T T T"
Gd 0.000 0.000 0.000
Ti 1.009 -5.519 -0.204
Ir 0.504 -2.760 -0.102
```

---

DFT (GGA-PBE) results for a relaxed structure of GdTiZnIr.

Summary:
ΔH_f (0 K)   -360 meV/atom
Electronic total energy   -8.388 eV per atom
V   18.61 Å³ per atom
Space group   F-43m, No. 216

extended XYZ file:
```
4
Lattice="-0.463 1.140 4.559 -3.816 -1.394 2.406 0.390 -3.336 3.319" Properties=species:S:1:pos:R:3 pbc="T T T"
Ti 0.000 0.000 0.000
Zn -0.972 -0.897 2.571
Gd -1.945 -1.795 5.142
Ir -2.917 -2.692 7.713
```

---

DFT (GGA-PBE) results for a relaxed structure of Gd2TlIr.

Summary:
ΔH_f (0 K)   -527 meV/atom
E above lowest polymorph   60 meV per atom
Electronic total energy   -10.374 eV per atom
V   28.14 Å³ per atom
Space group   R-3m, No. 166

extended XYZ file:
```
4
Lattice="3.997 0.000 0.000 1.999 3.462 0.000 1.999 1.154 8.135" Properties=species:S:1:pos:R:3 pbc="T T T"
Ir 0.000 0.000 0.000
Gd 1.999 1.154 1.582
Tl 3.997 2.308 4.068
Gd 5.996 3.462 6.553
```

---

DFT (GGA-PBE) results for a relaxed structure of Gd2TlIr.

Summary:
ΔH_f (0 K)   -588 meV/atom
E above lowest polymorph   0 meV per atom
Electronic total energy   -10.435 eV per atom
V   24.83 Å³ per atom
Space group   P4/mmm, No. 123

extended XYZ file:
```
4
Lattice="3.488 0.000 0.000 0.000 3.488 0.000 0.000 0.000 8.161" Properties=species:S:1:pos:R:3 pbc="T T T"
Gd 0.000 0.000 1.672
Ir 1.744 1.744 0.000
Tl 1.744 1.744 4.080
Gd 0.000 0.000 6.489
```

---

DFT (GGA-PBE) results for a relaxed structure of Gd2TlIr.

Summary:
ΔH_f (0 K)   -452 meV/atom
E above lowest polymorph   135 meV per atom
Electronic total energy   -10.299 eV per atom
V   24.10 Å³ per atom
Space group   Fm-3m, No. 225

extended XYZ file:
```
4
Lattice="5.146 0.000 0.000 2.573 4.457 0.000 2.573 1.486 4.202" Properties=species:S:1:pos:R:3 pbc="T T T"
Tl 0.000 0.000 0.000
Ir 5.146 2.971 2.101
Gd 2.573 1.486 1.051
Gd 7.720 4.457 3.152
```

---

DFT (GGA-PBE) results for a relaxed structure of Gd2TlIr.

Summary:
ΔH_f (0 K)   -445 meV/atom
E above lowest polymorph   142 meV per atom
Electronic total energy   -10.292 eV per atom
V   24.02 Å³ per atom
Space group   P4/mmm, No. 123

extended XYZ file:
```
4
Lattice="-2.359 -2.055 -2.032 3.875 -2.853 -1.614 -0.665 -3.131 3.938" Properties=species:S:1:pos:R:3 pbc="T T T"
Tl -1.179 -1.027 -1.016
Gd -0.332 -1.566 1.969
Ir 0.425 -4.019 0.146
Gd 1.937 -1.426 -0.807
```

---

DFT (GGA-PBE) results for a relaxed structure of GdTmTlIr.

Summary:
ΔH_f (0 K)   -481 meV/atom
Electronic total energy   -7.926 eV per atom
V   23.31 Å³ per atom
Space group   F-43m, No. 216

extended XYZ file:
```
4
Lattice="5.090 0.000 0.000 2.545 4.408 0.000 2.545 1.469 4.156" Properties=species:S:1:pos:R:3 pbc="T T T"
Ir 2.545 1.469 1.039
Tm 5.090 2.938 2.078
Tl 7.634 4.408 3.117
Gd 0.000 0.000 0.000
```

---

DFT (GGA-PBE) results for a relaxed structure of GdYTlIr.

Summary:
ΔH_f (0 K)   -469 meV/atom
Electronic total energy   -8.412 eV per atom
V   23.83 Å³ per atom
Space group   F-43m, No. 216

extended XYZ file:
```
4
Lattice="5.127 0.000 0.000 2.564 4.440 0.000 2.564 1.480 4.187" Properties=species:S:1:pos:R:3 pbc="T T T"
Gd 5.127 2.960 2.093
Ir 7.691 4.440 3.140
Tl 2.564 1.480 1.047
Y 0.000 0.000 0.000
```

---

DFT (GGA-PBE) results for a relaxed structure of GdTm2Ir.

Summary:
ΔH_f (0 K)   -465 meV/atom
E above lowest polymorph   0 meV per atom
Electronic total energy   -8.436 eV per atom
V   25.92 Å³ per atom
Space group   P4/mmm, No. 123

extended XYZ file:
```
4
Lattice="3.444 0.000 0.000 0.000 3.444 0.000 0.000 0.000 8.740" Properties=species:S:1:pos:R:3 pbc="T T T"
Tm 0.000 0.000 7.128
Ir 1.722 1.722 0.000
Tm 0.000 0.000 1.612
Gd 1.722 1.722 4.370
```

---

DFT (GGA-PBE) results for a relaxed structure of GdTmIr2.

Summary:
ΔH_f (0 K)   -811 meV/atom
E above lowest polymorph   2 meV per atom
Electronic total energy   -9.880 eV per atom
V   20.02 Å³ per atom
Space group   Fm-3m, No. 225

extended XYZ file:
```
4
Lattice="-4.088 1.396 -2.179 -1.166 -1.800 -4.337 -3.696 -3.094 -0.421" Properties=species:S:1:pos:R:3 pbc="T T T"
Ir 0.000 0.000 0.000
Gd -2.237 -0.875 -1.734
Tm -6.712 -2.624 -5.203
Ir -4.475 -1.749 -3.469
```

---

DFT (GGA-PBE) results for a relaxed structure of Gd2TmIr.

Summary:
ΔH_f (0 K)   -275 meV/atom
E above lowest polymorph   72 meV per atom
Electronic total energy   -10.648 eV per atom
V   29.96 Å³ per atom
Space group   R-3m, No. 166

extended XYZ file:
```
4
Lattice="-2.760 -2.394 1.216 -1.669 -2.431 -2.476 4.980 -8.051 1.553" Properties=species:S:1:pos:R:3 pbc="T T T"
Tm 0.275 -6.438 0.146
Gd -0.325 -2.757 -0.068
Ir 0.000 0.000 0.000
Gd 0.876 -10.119 0.361
```

---

DFT (GGA-PBE) results for a relaxed structure of GdTm2Ir.

Summary:
ΔH_f (0 K)   -350 meV/atom
E above lowest polymorph   115 meV per atom
Electronic total energy   -8.321 eV per atom
V   29.63 Å³ per atom
Space group   R-3m, No. 166

extended XYZ file:
```
4
Lattice="-2.130 -0.735 3.150 1.693 -0.206 3.478 -1.487 8.631 3.391" Properties=species:S:1:pos:R:3 pbc="T T T"
Tm -0.374 1.207 2.410
Ir 0.000 0.000 0.000
Tm -1.550 6.484 7.608
Gd -0.962 3.845 5.009
```

---

DFT (GGA-PBE) results for a relaxed structure of Gd2TmIr.

Summary:
ΔH_f (0 K)   -346 meV/atom
E above lowest polymorph   0 meV per atom
Electronic total energy   -10.720 eV per atom
V   26.88 Å³ per atom
Space group   P4/mmm, No. 123

extended XYZ file:
```
4
Lattice="-0.856 -2.444 -2.427 3.407 -0.230 -0.970 1.227 -6.164 5.775" Properties=species:S:1:pos:R:3 pbc="T T T"
Gd 0.232 -1.166 1.092
Tm 1.889 -4.419 1.189
Ir 1.275 -1.337 -1.698
Gd 0.995 -4.998 4.683
```

---

DFT (GGA-PBE) results for a relaxed structure of GdTmIr2.

Summary:
ΔH_f (0 K)   -813 meV/atom
E above lowest polymorph   0 meV per atom
Electronic total energy   -9.882 eV per atom
V   19.95 Å³ per atom
Space group   P4/mmm, No. 123

extended XYZ file:
```
4
Lattice="3.329 0.000 0.000 0.000 3.329 0.000 0.000 0.000 7.201" Properties=species:S:1:pos:R:3 pbc="T T T"
Ir 0.000 0.000 1.738
Gd 1.664 1.664 3.601
Ir 0.000 0.000 5.463
Tm 1.664 1.664 0.000
```

---

DFT (GGA-PBE) results for a relaxed structure of GdTmZnIr.

Summary:
ΔH_f (0 K)   -630 meV/atom
Electronic total energy   -7.801 eV per atom
V   21.03 Å³ per atom
Space group   F-43m, No. 216

extended XYZ file:
```
4
Lattice="4.918 0.000 0.000 2.459 4.259 0.000 2.459 1.420 4.015" Properties=species:S:1:pos:R:3 pbc="T T T"
Tm 7.377 4.259 3.012
Zn 4.918 2.839 2.008
Ir 0.000 0.000 0.000
Gd 2.459 1.420 1.004
```

---

DFT (GGA-PBE) results for a relaxed structure of GdUIr4.

Summary:
ΔH_f (0 K)   -638 meV/atom
Electronic total energy   -10.773 eV per atom
V   18.14 Å³ per atom
Space group   F-43m, No. 216

extended XYZ file:
```
6
Lattice="-3.039 3.800 2.245 -0.737 0.053 5.308 2.269 3.831 2.982" Properties=species:S:1:pos:R:3 pbc="T T T"
Ir -0.573 4.777 3.929
Ir -0.942 4.804 6.586
Ir -2.078 2.886 5.093
Ir 0.579 2.902 5.462
Gd 0.000 0.000 0.000
U -0.377 1.921 2.634
```